No. 1
An optimized crystal structure of DyY2Ir, computed with PBE.

Results
Size of the total moment: 0.0 μB/f.u.
ΔE_f: -531 meV per atom

Unit cell a=3.8797 b=12.1506 c=9.1878 alpha=90.00 beta=90.00 gamma=90.00
Space group Cmcm (No. 63)
Unique sites:
Dy1 0.0000 0.0762 0.2500 (multiplicity 4)
Y1 0.0000 0.3588 0.0669 (multiplicity 8)
Ir1 0.0000 0.2540 0.7500 (multiplicity 4)

No. 2
An optimized crystal structure of K2Ru, computed with PBE.

Results
Size of the total moment: 0.7 μB/f.u.
ΔE_f: 1179 meV per atom

Unit cell a=2.8086 b=5.5673 c=10.4559 alpha=90.00 beta=90.00 gamma=90.00
Space group Immm (No. 71)
Unique sites:
K1 0.0000 0.0000 0.1593 (multiplicity 4)
Ru1 0.0000 0.0000 0.5000 (multiplicity 2)

No. 3
An optimized crystal structure of AsRh, computed with PBE.

Results
Size of the total moment: 0.0 μB/f.u.
ΔE_f: -329 meV per atom

Unit cell a=3.0756 b=4.7220 c=4.2568 alpha=90.00 beta=90.00 gamma=90.00
Space group Pmmn (No. 59, origin choice 2)
Unique sites:
As1 0.2500 0.2500 0.1421 (multiplicity 2)
Rh1 0.2500 0.7500 0.3568 (multiplicity 2)

No. 4
An optimized crystal structure of InReTe2N, computed with PBE.

Results
Formation energy without anion corrections: 208.1 meV/atom
Size of the total moment: 0.0 μB/f.u.

Unit cell a=5.5612 b=5.5612 c=3.7528 alpha=90.00 beta=90.00 gamma=90.00
Space group P4/mmm (No. 123)
Unique sites:
In1 0.0000 0.0000 0.0000 (multiplicity 1)
Re1 0.5000 0.5000 0.5000 (multiplicity 1)
Te1 0.0000 0.5000 0.5000 (multiplicity 2)
N1 0.5000 0.5000 0.0000 (multiplicity 1)

No. 5
An optimized crystal structure of Rb3AgHg2, computed with PBE.

Results
Size of the total moment: 0.0 μB/f.u.
ΔE_f: -146 meV per atom

Unit cell a=14.4624 b=5.0511 c=14.5687 alpha=90.00 beta=90.00 gamma=90.00
Space group Pnma (No. 62)
Unique sites:
Rb1 0.0571 0.2500 0.1245 (multiplicity 4)
Rb2 0.1166 0.7500 0.5584 (multiplicity 4)
Rb3 0.2058 0.2500 0.7928 (multiplicity 4)
Ag1 0.1311 0.2500 0.3718 (multiplicity 4)
Hg1 0.0374 0.7500 0.3172 (multiplicity 4)
Hg2 0.1975 0.7500 0.9839 (multiplicity 4)

No. 6
An optimized crystal structure of ReSbSCl2, computed with PBE.

Results
Formation energy without anion corrections: 964.2 meV/atom
Size of the total moment: 6.0 μB/f.u.

Unit cell a=5.3373 b=5.3373 c=5.1844 alpha=90.00 beta=90.00 gamma=90.00
Space group P4/mmm (No. 123)
Unique sites:
Re1 0.0000 0.0000 0.0000 (multiplicity 1)
Sb1 0.5000 0.5000 0.5000 (multiplicity 1)
S1 0.5000 0.5000 0.0000 (multiplicity 1)
Cl1 0.0000 0.5000 0.5000 (multiplicity 2)

No. 7
An optimized crystal structure of Pr10Ga3Sb3, computed with PBE.

Results
Formation energy without anion corrections: -668.6 meV/atom
Size of the total moment: 0.0 μB/f.u.

Unit cell a=9.2095 b=9.2095 c=6.7768 alpha=90.00 beta=90.00 gamma=120.00
Space group P-62m (No. 189)
Unique sites:
Pr1 0.0000 0.2436 0.0000 (multiplicity 3)
Pr2 0.0000 0.7575 0.5000 (multiplicity 3)
Pr3 0.3333 0.6667 0.2531 (multiplicity 4)
Ga1 0.0000 0.3947 0.5000 (multiplicity 3)
Sb1 0.0000 0.6079 0.0000 (multiplicity 3)

No. 8
An optimized crystal structure of HfU2Se6, computed with PBE.

Results
Formation energy without anion corrections: -1059.1 meV/atom
Size of the total moment: 4.0 μB/f.u.

Unit cell a=6.5834 b=6.5834 c=12.3519 alpha=90.00 beta=90.00 gamma=90.00
Space group P4_2/mnm (No. 136)
Unique sites:
Hf1 0.0000 0.0000 0.0000 (multiplicity 2)
U1 0.0000 0.0000 0.3312 (multiplicity 4)
Se1 0.1941 0.1941 0.1569 (multiplicity 8)
Se2 0.2050 0.2050 0.5000 (multiplicity 4)

No. 9
An optimized crystal structure of SrV3S, computed with PBE.

Results
Formation energy without anion corrections: 327.8 meV/atom
Size of the total moment: 3.5 μB/f.u.

Unit cell a=4.5464 b=4.5464 c=4.5464 alpha=90.00 beta=90.00 gamma=90.00
Space group Pm-3m (No. 221)
Unique sites:
Sr1 0.0000 0.0000 0.0000 (multiplicity 1)
V1 0.0000 0.5000 0.5000 (multiplicity 3)
S1 0.5000 0.5000 0.5000 (multiplicity 1)

No. 10
An optimized crystal structure of SrClF3, computed with PBE.

Results
Formation energy without anion corrections: -2460.6 meV/atom
Size of the total moment: 0.0 μB/f.u.

Unit cell a=6.5716 b=7.7851 c=8.6351 alpha=90.00 beta=122.88 gamma=90.00
Space group P2_1/c (No. 14)
Unique sites:
Sr1 0.0197 0.1682 0.3370 (multiplicity 4)
Cl1 0.3732 0.5671 0.6990 (multiplicity 4)
F1 0.0124 0.6402 0.8974 (multiplicity 4)
F2 0.1933 0.0205 0.9532 (multiplicity 4)
F3 0.4665 0.1628 0.5675 (multiplicity 4)

No. 11
An optimized crystal structure of Cd2PI, computed with PBE.

Results
Formation energy without anion corrections: -291.3 meV/atom
Size of the total moment: 0.0 μB/f.u.

Unit cell a=6.4567 b=6.4567 c=12.7052 alpha=90.00 beta=90.00 gamma=90.00
Space group I-42d (No. 122)
Unique sites:
Cd1 0.1635 0.2500 0.1250 (multiplicity 8)
P1 0.0000 0.0000 0.0000 (multiplicity 4)
I1 0.0000 0.0000 0.5000 (multiplicity 4)

No. 12
An optimized crystal structure of NiBSb2W, computed with PBE.

Results
Formation energy without anion corrections: 1029.5 meV/atom
Size of the total moment: 1.7 μB/f.u.

Unit cell a=5.0352 b=5.0352 c=3.6196 alpha=90.00 beta=90.00 gamma=90.00
Space group P4/mmm (No. 123)
Unique sites:
Ni1 0.0000 0.0000 0.0000 (multiplicity 1)
B1 0.0000 0.0000 0.5000 (multiplicity 1)
Sb1 0.0000 0.5000 0.0000 (multiplicity 2)
W1 0.5000 0.5000 0.5000 (multiplicity 1)